(1)
Entry from OQMD: an optimized crystal structure of Ac2Co (PBE-GGA).

Unit cell a=6.8528 b=6.8528 c=4.3073 alpha=90.00 beta=90.00 gamma=90.00
Fractional positions:
Ac 0.3018 0.3018 0.0000
Ac 0.6982 0.6982 0.0000
Ac 0.8018 0.1982 0.5000
Ac 0.1982 0.8018 0.5000
Co 0.0000 0.0000 0.0000
Co 0.5000 0.5000 0.5000

Results
Volume (A^3/atom): 33.71
Formation enthalpy at 0 K (eV per atom): -0.04
Crystal system: tetragonal
SG: No. 136
E_tot (eV/atom): -5.142
Magnetization (μB per cell): 0.00

***

(2)
Entry from OQMD: an optimized crystal structure of Nb2Mo4Pb3C3 (PBE-GGA).

Unit cell a=5.6487 b=5.6487 c=14.3040 alpha=101.38 beta=101.38 gamma=59.98
Fractional positions:
C 0.0000 0.5000 0.0000
C 0.3307 0.8384 0.0001
C 0.1616 0.6693 0.4999
C 0.5000 0.0000 0.5000
C 0.8384 0.3307 0.5001
C 0.6693 0.1616 0.9999
Mo 0.6918 0.8595 0.0761
Mo 0.0260 0.1912 0.0762
Mo 0.8088 0.9740 0.4238
Mo 0.1405 0.3082 0.4239
Mo 0.8595 0.6918 0.5761
Mo 0.1912 0.0260 0.5762
Mo 0.9740 0.8088 0.9238
Mo 0.3082 0.1405 0.9239
Nb 0.3598 0.5272 0.0813
Nb 0.4728 0.6402 0.4187
Nb 0.5272 0.3598 0.5813
Nb 0.6402 0.4728 0.9187
Pb 0.7591 0.5824 0.2498
Pb 0.0759 0.9241 0.2500
Pb 0.4176 0.2409 0.2502
Pb 0.5824 0.7591 0.7498
Pb 0.9241 0.0759 0.7500
Pb 0.2409 0.4176 0.7502

Results
Volume (A^3/atom): 16.03
Crystal system: monoclinic
SG: No. 15
E_tot (eV/atom): -8.470
Magnetization (μB per cell): 0.01

***

(3)
Entry from OQMD: an optimized crystal structure of KZrNO (PBE-GGA).

Unit cell a=4.2530 b=4.2530 c=9.7195 alpha=89.96 beta=89.96 gamma=89.97
Fractional positions:
K 0.2504 0.2505 0.1378
K 0.7493 0.7494 0.8547
N 0.7501 0.7501 0.4565
N 0.2500 0.2500 0.5543
O 0.2487 0.7513 0.9944
O 0.7513 0.2487 0.9945
Zr 0.7501 0.2500 0.5039
Zr 0.2500 0.7501 0.5039

Results
Volume (A^3/atom): 21.98
Crystal system: monoclinic
SG: No. 8
E_tot (eV/atom): -6.311
Magnetization (μB per cell): 2.18
E above lowest polymorph (eV per formula unit): 4.515

***

- Among the records above, which one has the highest magnetization?
  KZrNO

***

Repeat the third record exactly.
Entry from OQMD: an optimized crystal structure of KZrNO (PBE-GGA).

Unit cell a=4.2530 b=4.2530 c=9.7195 alpha=89.96 beta=89.96 gamma=89.97
Fractional positions:
K 0.2504 0.2505 0.1378
K 0.7493 0.7494 0.8547
N 0.7501 0.7501 0.4565
N 0.2500 0.2500 0.5543
O 0.2487 0.7513 0.9944
O 0.7513 0.2487 0.9945
Zr 0.7501 0.2500 0.5039
Zr 0.2500 0.7501 0.5039

Results
Volume (A^3/atom): 21.98
Crystal system: monoclinic
SG: No. 8
E_tot (eV/atom): -6.311
Magnetization (μB per cell): 2.18
E above lowest polymorph (eV per formula unit): 4.515

***

Repeat the first record exactly.
Entry from OQMD: an optimized crystal structure of Ac2Co (PBE-GGA).

Unit cell a=6.8528 b=6.8528 c=4.3073 alpha=90.00 beta=90.00 gamma=90.00
Fractional positions:
Ac 0.3018 0.3018 0.0000
Ac 0.6982 0.6982 0.0000
Ac 0.8018 0.1982 0.5000
Ac 0.1982 0.8018 0.5000
Co 0.0000 0.0000 0.0000
Co 0.5000 0.5000 0.5000

Results
Volume (A^3/atom): 33.71
Formation enthalpy at 0 K (eV per atom): -0.04
Crystal system: tetragonal
SG: No. 136
E_tot (eV/atom): -5.142
Magnetization (μB per cell): 0.00

***

- Among the records above, which one has the lowest volume?
  Nb2Mo4Pb3C3